No. 1
This record from the Alexandria database describes a geometry-optimized Mn3IBr2O6 structure. The functional is PBE with a Hubbard U.

Output
N(E_F), states/eV/atom: 0.05
Raw total energy, eV per atom: -5.5480

Cell and atoms, written as POSCAR:
```
Mn3IBr2O6
1.0
5.3022 -3.1587 0.0000
5.3022 3.1587 0.0000
-1.3162 0.0000 5.7382
Mn I Br O
3 1 2 6
direct
0.0000 0.0000 0.0000
0.0000 0.5000 0.5000
0.5000 0.0000 0.5000
0.5000 0.5000 0.5000
0.2038 0.2038 0.8478
0.7962 0.7962 0.1522
0.1919 0.6675 0.6808
0.3030 0.3030 0.3441
0.3325 0.8081 0.3192
0.6675 0.1919 0.6808
0.6970 0.6970 0.6559
0.8081 0.3325 0.3192
```

No. 2
This record from the Alexandria database describes a geometry-optimized MnI2BrO structure. The functional is PBE with a Hubbard U.

Output
N(E_F), states/eV/atom: 1.61
ΔE to the lowest computed polymorph, eV per atom: 0.000

Cell and atoms, written as POSCAR:
```
MnI2BrO
1.0
5.7966 0.0000 0.0000
0.0000 5.7966 0.0000
0.0000 0.0000 3.6109
Mn I Br O
1 2 1 1
direct
0.0000 0.0000 0.0000
0.0000 0.5000 0.0000
0.5000 0.0000 0.0000
0.5000 0.5000 0.5000
0.0000 0.0000 0.5000
```

No. 3
This record from the Alexandria database describes a geometry-optimized MnI2BrO structure. The functional is PBE with a Hubbard U.

Output
N(E_F), states/eV/atom: 0.90
ΔE to the lowest computed polymorph, eV per atom: 0.196

Cell and atoms, written as POSCAR:
```
MnI2BrO
1.0
6.0581 0.0000 0.0000
0.0000 6.0581 0.0000
0.0000 0.0000 4.0098
Mn I Br O
1 2 1 1
direct
0.0000 0.0000 0.0000
0.0000 0.5000 0.5000
0.5000 0.0000 0.5000
0.5000 0.5000 0.5000
0.5000 0.5000 0.0000
```